Entry from Alexandria via LeMat-Bulk: crystalline Ga2Pd5S at its relaxed geometry (PBE).

```
Ga2Pd5S
1.0
2.029 -6.991 0.000
2.029 6.991 0.000
0.000 0.000 11.559
Ga Pd S
4 10 2
Cartesian
2.029 5.219 6.744 Ga
2.029 5.219 10.594 Ga
2.029 -5.219 0.965 Ga
2.029 -5.219 4.814 Ga
2.029 6.335 1.270 Pd
2.029 6.335 4.509 Pd
2.029 3.576 8.669 Pd
2.029 3.400 0.922 Pd
2.029 3.400 4.857 Pd
2.029 -3.400 6.702 Pd
2.029 -3.400 10.636 Pd
2.029 -3.576 2.890 Pd
2.029 -6.335 7.049 Pd
2.029 -6.335 10.289 Pd
2.029 4.692 2.890 S
2.029 -4.692 8.669 S
```

Output
- total magnetization (Bohr magnetons per cell) = 0.00
- electronic total energy (eV/f.u.) = -37.764
- V (Å³/f.u.) = 163.94